! LaMn2SnBi (PBE-GGA, optimized geometry); values from VASP
&SYSTEM
  ibrav = 0, nat = 5, ntyp = 4
/
ATOMIC_SPECIES
Bi 208.98 Bi.upf
Sn 118.71 Sn.upf
La 138.91 La.upf
Mn 54.94 Mn.upf
CELL_PARAMETERS angstrom
-2.101 -4.076 -2.502
5.353 -2.949 0.309
-1.412 -2.082 4.577
ATOMIC_POSITIONS crystal
Bi 0.000 0.500 0.000
Sn 0.500 0.500 0.500
La 0.000 0.000 0.000
Mn 0.500 0.000 0.000
Mn 0.000 0.000 0.500
! * SG: P4/mmm (123)
! * formation energy: 582.5 kJ/mol of formula units
! * E_tot: -25.11 eV per cell


! Ba6Te3Se2I (PBE-GGA, optimized geometry); values from VASP
&SYSTEM
  ibrav = 0, nat = 12, ntyp = 4
/
ATOMIC_SPECIES
Te 127.60 Te.upf
Ba 137.33 Ba.upf
Se 78.96 Se.upf
I 126.90 I.upf
CELL_PARAMETERS angstrom
4.901 0.000 0.000
0.000 9.811 0.406
-2.450 -2.765 10.285
ATOMIC_POSITIONS crystal
Te 0.838 0.165 0.676
Ba 0.327 0.900 0.653
Ba 0.673 0.100 0.347
Ba 0.994 0.735 0.987
Se 0.833 0.666 0.665
I 0.500 0.000 0.000
Te 0.162 0.835 0.324
Ba 0.330 0.424 0.660
Ba 0.670 0.576 0.340
Te 0.500 0.500 0.000
Ba 0.006 0.265 0.013
Se 0.167 0.334 0.335
! * SG: C2/m (12)
! * formation energy from raw total energies: -1.803 eV/atom
! * E_tot: -51.11 eV per cell


! KRuAu (PBE-GGA, optimized geometry); values from VASP
&SYSTEM
  ibrav = 0, nat = 3, ntyp = 3
/
ATOMIC_SPECIES
Ru 101.07 Ru.upf
Au 196.97 Au.upf
K 39.10 K.upf
CELL_PARAMETERS angstrom
-2.115 -1.840 -0.689
0.901 0.204 2.735
-5.497 5.803 1.378
ATOMIC_POSITIONS crystal
Ru 0.333 0.667 0.687
Au 0.000 0.000 0.977
K 0.667 0.333 0.337
! * SG: P3m1 (156)
! * energy above the lowest structure with this stoichiometry: 252 meV per atom
! * formation energy: 233.1 kJ/mol of formula units
! * E_tot: -11.23 eV per cell


! RbIr3F (PBE-GGA, optimized geometry); values from VASP
&SYSTEM
  ibrav = 0, nat = 5, ntyp = 3
/
ATOMIC_SPECIES
F 19.00 F.upf
Rb 85.47 Rb.upf
Ir 192.22 Ir.upf
CELL_PARAMETERS angstrom
5.084 0.000 0.000
0.000 5.084 0.000
0.000 0.000 5.084
ATOMIC_POSITIONS crystal
F 0.500 0.500 0.500
Rb 0.000 0.000 0.000
Ir 0.000 0.500 0.000
Ir 0.000 0.000 0.500
Ir 0.500 0.000 0.000
! * SG: Pm-3m (221)
! * energy above the lowest structure with this stoichiometry: 1656 meV per atom
! * formation energy from raw total energies: 3.323 eV/atom
! * E_tot: -12.80 eV per cell


! Hf2BTe (PBE-GGA, optimized geometry); values from VASP
&SYSTEM
  ibrav = 0, nat = 8, ntyp = 3
/
ATOMIC_SPECIES
B 10.81 B.upf
Te 127.60 Te.upf
Hf 178.49 Hf.upf
CELL_PARAMETERS angstrom
-5.660 -1.705 -0.099
1.700 -5.657 0.260
-2.140 -3.475 5.622
ATOMIC_POSITIONS crystal
B 0.500 0.500 0.000
Te 0.750 0.250 0.500
Hf 0.216 0.625 0.250
Hf 0.534 0.125 0.250
Te 0.000 0.000 0.000
Hf 0.875 0.784 0.750
B 0.250 0.750 0.500
Hf 0.375 0.466 0.750
! * SG: I-42d (122)
! * energy above the lowest structure with this stoichiometry: 686 meV per atom
! * formation energy from raw total energies: -0.021 eV/atom
! * E_tot: -59.62 eV per cell


! TaIn2Pb (PBE-GGA, optimized geometry); values from VASP
&SYSTEM
  ibrav = 0, nat = 4, ntyp = 3
/
ATOMIC_SPECIES
In 114.82 In.upf
Pb 207.20 Pb.upf
Ta 180.95 Ta.upf
CELL_PARAMETERS angstrom
5.033 0.000 0.000
0.000 4.289 0.000
0.000 0.000 4.289
ATOMIC_POSITIONS crystal
In 0.000 0.000 0.000
Pb 0.500 0.500 0.000
In 0.000 0.500 0.500
Ta 0.500 0.000 0.500
! * SG: P4/mmm (123)
! * formation energy: 216.6 kJ/mol of formula units
! * E_tot: -18.79 eV per cell


! ScTl2In (PBE-GGA, optimized geometry); values from VASP
&SYSTEM
  ibrav = 0, nat = 4, ntyp = 3
/
ATOMIC_SPECIES
Tl 204.38 Tl.upf
Sc 44.96 Sc.upf
In 114.82 In.upf
CELL_PARAMETERS angstrom
4.762 0.000 0.000
2.381 4.124 0.000
2.381 1.375 5.677
ATOMIC_POSITIONS crystal
Tl 0.261 0.261 0.217
Sc 0.679 0.679 0.964
In 0.490 0.490 0.529
Tl 0.070 0.070 0.789
! * SG: R3m (160)
! * formation energy: 6.6 kJ/mol of formula units
! * E_tot: -13.73 eV per cell


! CaIn4Ga2 (PBE-GGA, optimized geometry); values from VASP
&SYSTEM
  ibrav = 0, nat = 7, ntyp = 3
/
ATOMIC_SPECIES
Ca 40.08 Ca.upf
Ga 69.72 Ga.upf
In 114.82 In.upf
CELL_PARAMETERS angstrom
4.663 0.000 0.000
0.000 4.658 0.000
0.000 -2.329 8.274
ATOMIC_POSITIONS crystal
Ca 0.000 0.000 0.000
Ga 0.500 0.574 0.149
In 0.000 0.319 0.638
Ga 0.500 0.426 0.851
In 0.500 0.825 0.650
In 0.000 0.681 0.362
In 0.500 0.175 0.350
! * SG: Cmmm (65)
! * formation energy: -85.7 kJ/mol of formula units
! * E_tot: -19.90 eV per cell


Q: Which value of E_tot does entry 2 give?
A: -51.11 eV per cell


Q: What is the E_tot in the eighth record?
A: -19.90 eV per cell